(1)
Computed, not measured: a geometry-optimized LaTcIr structure at the GGA-PBEsol level of DFT.

```
3
Lattice="2.923 0.000 0.000 0.000 2.923 0.000 -1.461 -1.461 6.484" Properties=species:S:1:pos:R:3 pbc="T T T"
Ir 1.461 1.461 6.177
La 1.461 1.461 2.151
Tc 0.000 0.000 4.640
```

=====

(2)
Computed, not measured: a geometry-optimized LaTcIr structure at the GGA-PBEsol level of DFT.

```
3
Lattice="-4.068 -1.493 -1.037 -0.580 -2.577 -3.588 -0.981 -4.318 0.494" Properties=species:S:1:pos:R:3 pbc="T T T"
Ir -2.814 -4.194 -2.066
La -1.407 -2.097 -1.033
Tc 0.000 0.000 0.000
```

=====

Verdict on stability: (1) comes out on top.